Below is a geometry-optimized AsPtSe2N structure, with properties calculated at the GGA-PBEsol level.

Cell: 4.1999 4.1999 4.3908 Å, 90.00 90.00 90.00°
Atoms (fractional coordinates):
As (0.0000, 0.0000, 0.0000)
Pt (0.5000, 0.5000, 0.0000)
Se (0.0000, 0.5000, 0.5000)
Se (0.5000, 0.0000, 0.5000)
N (0.0000, 0.0000, 0.5000)

The formation energy from raw total energies comes out at 0.850 eV per atom. As for the energy above the most stable polymorph in this dataset: 1.31 eV per formula unit. Its density of states at the Fermi level is 3.54 states/eV/cell. Its space group is No. 123. The total energy comes out at -24.05 eV per cell.